(1)
Tl2AgGeW at its PBEsol-relaxed geometry, computed with meta-GGA SCAN.

Cell and atoms, written as POSCAR:
```
Tl2AgGeW
1.0
5.264 0.000 0.000
0.000 5.264 0.000
0.000 0.000 4.817
Tl Ag Ge W
2 1 1 1
Direct
0.000 0.500 0.000
0.500 0.000 0.000
0.000 0.000 0.500
0.500 0.500 0.000
0.500 0.500 0.500
```

Summary:
energy of formation from the pure elements = 1369 meV per atom
DOS(E_F) = 3.00 states/eV/cell


(2)
Ag3GeW at its PBEsol-relaxed geometry, computed with meta-GGA SCAN.

Cell and atoms, written as POSCAR:
```
Ag3GeW
1.0
4.698 0.000 0.000
0.000 4.698 0.000
0.000 0.000 4.698
Ag Ge W
3 1 1
Direct
0.000 0.000 0.500
0.000 0.500 0.000
0.500 0.000 0.000
0.000 0.000 0.000
0.500 0.500 0.500
```

Summary:
energy of formation from the pure elements = 1490 meV per atom
DOS(E_F) = 1.83 states/eV/cell


(3)
YAgGe at its PBEsol-relaxed geometry, computed with meta-GGA SCAN.

Cell and atoms, written as POSCAR:
```
YAgGe
1.0
7.036 0.000 0.000
-3.518 6.094 0.000
0.000 0.000 4.171
Y Ag Ge
3 3 3
Direct
0.000 0.583 0.000
0.417 0.417 0.000
0.583 0.000 0.000
0.000 0.249 0.500
0.249 0.000 0.500
0.751 0.751 0.500
0.000 0.000 0.000
0.333 0.667 0.500
0.667 0.333 0.500
```

Summary:
energy of formation from the pure elements = -768 meV per atom
DOS(E_F) = 1.04 states/eV/cell


(4)
Zn2AgGe2 at its PBEsol-relaxed geometry, computed with meta-GGA SCAN.

Cell and atoms, written as POSCAR:
```
Zn2AgGe2
1.0
4.016 0.000 0.000
0.000 4.016 0.000
0.000 0.000 10.929
Zn Ag Ge
4 2 4
Direct
0.000 0.500 0.250
0.000 0.500 0.750
0.500 0.000 0.250
0.500 0.000 0.750
0.000 0.000 0.000
0.500 0.500 0.500
0.000 0.000 0.390
0.000 0.000 0.610
0.500 0.500 0.110
0.500 0.500 0.890
```

Summary:
energy of formation from the pure elements = 235 meV per atom
DOS(E_F) = 2.52 states/eV/cell


(5)
HfAg2H2 at its PBEsol-relaxed geometry, computed with meta-GGA SCAN.

Cell and atoms, written as POSCAR:
```
HfAg2H2
1.0
5.419 0.000 0.000
0.000 5.419 0.000
0.000 0.000 4.281
Hf Ag H
2 4 4
Direct
0.000 0.000 0.000
0.500 0.500 0.000
0.176 0.324 0.500
0.324 0.824 0.500
0.676 0.176 0.500
0.824 0.676 0.500
0.170 0.330 0.000
0.330 0.830 0.000
0.670 0.170 0.000
0.830 0.670 0.000
```

Summary:
DFT total energy = -26.46 eV/atom
DOS(E_F) = 1.52 states/eV/cell


(6)
Hf2AgH at its PBEsol-relaxed geometry, computed with meta-GGA SCAN.

Cell and atoms, written as POSCAR:
```
Hf2AgH
1.0
6.410 0.000 0.000
0.000 6.410 0.000
0.000 0.000 6.410
Hf Ag H
8 4 4
Direct
0.250 0.250 0.250
0.250 0.250 0.750
0.250 0.750 0.250
0.250 0.750 0.750
0.750 0.250 0.250
0.750 0.250 0.750
0.750 0.750 0.250
0.750 0.750 0.750
0.000 0.000 0.000
0.000 0.500 0.500
0.500 0.000 0.500
0.500 0.500 0.000
0.000 0.000 0.500
0.000 0.500 0.000
0.500 0.000 0.000
0.500 0.500 0.500
```

Summary:
DFT total energy = -39.67 eV/atom
DOS(E_F) = 11.86 states/eV/cell


(7)
Hf3AgH at its PBEsol-relaxed geometry, computed with meta-GGA SCAN.

Cell and atoms, written as POSCAR:
```
Hf3AgH
1.0
4.325 0.000 0.000
0.000 4.325 0.000
0.000 0.000 4.325
Hf Ag H
3 1 1
Direct
0.000 0.000 0.500
0.000 0.500 0.000
0.500 0.000 0.000
0.500 0.500 0.500
0.000 0.000 0.000
```

Summary:
DFT total energy = -44.68 eV/atom
DOS(E_F) = 4.77 states/eV/cell


(8)
AgHg3H at its PBEsol-relaxed geometry, computed with meta-GGA SCAN.

Cell and atoms, written as POSCAR:
```
AgHg3H
1.0
4.434 0.000 0.000
0.000 4.434 0.000
0.000 0.000 4.434
Ag Hg H
1 3 1
Direct
0.000 0.000 0.000
0.000 0.500 0.500
0.500 0.000 0.500
0.500 0.500 0.000
0.500 0.500 0.500
```

Summary:
DFT total energy = -47.41 eV/atom
DOS(E_F) = 1.53 states/eV/cell


(9)
Ag2HgH2 at its PBEsol-relaxed geometry, computed with meta-GGA SCAN.

Cell and atoms, written as POSCAR:
```
Ag2HgH2
1.0
3.301 0.000 0.000
0.000 3.301 0.000
0.000 0.000 11.778
Ag Hg H
4 2 4
Direct
0.000 0.000 0.163
0.000 0.000 0.837
0.500 0.500 0.337
0.500 0.500 0.663
0.000 0.000 0.500
0.500 0.500 0.000
0.000 0.500 0.250
0.000 0.500 0.750
0.500 0.000 0.250
0.500 0.000 0.750
```

Summary:
DFT total energy = -27.22 eV/atom
DOS(E_F) = 1.54 states/eV/cell


(10)
AgHgH3 at its PBEsol-relaxed geometry, computed with meta-GGA SCAN.

Cell and atoms, written as POSCAR:
```
AgHgH3
1.0
3.826 0.000 0.000
0.000 3.826 0.000
0.000 0.000 3.826
Ag Hg H
1 1 3
Direct
0.000 0.000 0.000
0.500 0.500 0.500
0.000 0.500 0.500
0.500 0.000 0.500
0.500 0.500 0.000
```

Summary:
DFT total energy = -21.29 eV/atom
DOS(E_F) = 1.03 states/eV/cell


(11)
AgHgHPd2 at its PBEsol-relaxed geometry, computed with meta-GGA SCAN.

Cell and atoms, written as POSCAR:
```
AgHgHPd2
1.0
4.050 0.000 0.000
0.000 4.050 0.000
0.000 0.000 4.090
Ag Hg H Pd
1 1 1 2
Direct
0.000 0.000 0.000
0.500 0.500 0.000
0.000 0.000 0.500
0.000 0.500 0.500
0.500 0.000 0.500
```

Summary:
DFT total energy = -33.84 eV/atom
DOS(E_F) = 0.88 states/eV/cell


(12)
AgHgSb2H at its PBEsol-relaxed geometry, computed with meta-GGA SCAN.

Cell and atoms, written as POSCAR:
```
AgHgSb2H
1.0
5.281 0.000 0.000
0.000 5.281 0.000
0.000 0.000 5.191
Ag Hg Sb H
1 1 2 1
Direct
0.000 0.000 0.000
0.000 0.000 0.500
0.000 0.500 0.000
0.500 0.000 0.000
0.500 0.500 0.500
```

Summary:
DFT total energy = -34.49 eV/atom
DOS(E_F) = 3.44 states/eV/cell